[1]
Be2IrPt, relaxed, DFT PBE; crystal system = cubic; calculated total energy = -5.579 eV/atom; ΔE_f = 0.010 eV per atom
1.0
5.885 0.000 0.000
0.000 5.885 0.000
0.000 0.000 5.885
Be Ir Pt
8 4 4
direct
0.000 0.000 0.000 Be
0.000 0.500 0.500 Be
0.250 0.250 0.250 Be
0.250 0.750 0.750 Be
0.500 0.000 0.500 Be
0.500 0.500 0.000 Be
0.750 0.250 0.750 Be
0.750 0.750 0.250 Be
0.000 0.000 0.500 Ir
0.000 0.500 0.000 Ir
0.500 0.000 0.000 Ir
0.500 0.500 0.500 Ir
0.250 0.250 0.750 Pt
0.250 0.750 0.250 Pt
0.750 0.250 0.250 Pt
0.750 0.750 0.750 Pt



[2]
NdHo5Mg6, relaxed, DFT PBE; crystal system = orthorhombic; calculated total energy = -3.181 eV/atom; ΔE_f = -0.079 eV per atom
1.0
2.683 -8.057 0.000
2.683 8.057 0.000
0.000 0.000 7.572
Nd Ho Mg
1 5 6
direct
0.000 0.000 0.000 Nd
0.000 0.000 0.500 Ho
0.332 0.668 0.000 Ho
0.335 0.665 0.500 Ho
0.665 0.335 0.500 Ho
0.668 0.332 0.000 Ho
0.168 0.832 0.253 Mg
0.168 0.832 0.747 Mg
0.500 0.500 0.253 Mg
0.500 0.500 0.747 Mg
0.832 0.168 0.253 Mg
0.832 0.168 0.747 Mg



[3]
SrCaCdRh, relaxed, DFT PBE; crystal system = cubic; calculated total energy = -3.203 eV/atom; ΔE_f = -0.216 eV per atom
1.0
7.448 0.000 0.000
0.000 7.448 0.000
0.000 0.000 7.448
Sr Ca Cd Rh
4 4 4 4
direct
0.000 0.000 0.000 Sr
0.000 0.500 0.500 Sr
0.500 0.000 0.500 Sr
0.500 0.500 0.000 Sr
0.000 0.000 0.500 Ca
0.000 0.500 0.000 Ca
0.500 0.000 0.000 Ca
0.500 0.500 0.500 Ca
0.250 0.250 0.250 Cd
0.250 0.750 0.750 Cd
0.750 0.250 0.750 Cd
0.750 0.750 0.250 Cd
0.250 0.250 0.750 Rh
0.250 0.750 0.250 Rh
0.750 0.250 0.250 Rh
0.750 0.750 0.750 Rh



[4]
Tb5RhPb4, relaxed, DFT PBE; crystal system = tetragonal; calculated total energy = -4.926 eV/atom; ΔE_f = -0.392 eV per atom
1.0
-4.863 4.863 3.134
4.863 -4.863 3.134
4.863 4.863 -3.134
Tb Rh Pb
5 1 4
direct
0.000 0.000 0.000 Tb
0.322 0.681 0.841 Tb
0.481 0.322 0.641 Tb
0.681 0.840 0.359 Tb
0.840 0.481 0.159 Tb
0.519 0.519 0.000 Rh
0.006 0.768 0.608 Pb
0.160 0.399 0.392 Pb
0.399 0.006 0.239 Pb
0.768 0.160 0.761 Pb



[5]
KCu2Os, relaxed, DFT PBE; crystal system = monoclinic; calculated total energy = -4.381 eV/atom; ΔE_f = 0.749 eV per atom
1.0
9.618 0.000 0.000
0.000 2.611 0.000
-1.251 0.000 6.109
K Cu Os
2 4 2
direct
0.000 0.000 0.000 K
0.500 0.500 0.000 K
0.017 0.500 0.476 Cu
0.219 0.000 0.703 Cu
0.517 0.000 0.476 Cu
0.719 0.500 0.703 Cu
0.283 0.500 0.393 Os
0.783 0.000 0.393 Os



[6]
Rb2Hg5, relaxed, DFT PBE; crystal system = monoclinic; calculated total energy = -0.726 eV/atom; ΔE_f = -0.234 eV per atom
1.0
12.283 0.000 0.000
0.000 5.386 0.000
-2.192 0.000 7.622
Rb Hg
4 10
direct
0.135 0.000 0.275 Rb
0.365 0.500 0.725 Rb
0.635 0.500 0.275 Rb
0.865 0.000 0.725 Rb
0.000 0.500 0.500 Hg
0.102 0.500 0.916 Hg
0.171 0.000 0.768 Hg
0.329 0.500 0.232 Hg
0.398 0.000 0.084 Hg
0.500 0.000 0.500 Hg
0.602 0.000 0.916 Hg
0.671 0.500 0.768 Hg
0.829 0.000 0.232 Hg
0.898 0.500 0.084 Hg



[7]
NaPm2Tl, relaxed, DFT PBE; crystal system = trigonal; calculated total energy = -3.231 eV/atom; ΔE_f = 0.065 eV per atom
1.0
3.599 0.000 0.000
-1.799 3.117 0.000
0.000 0.000 37.051
Na Pm Tl
3 6 3
direct
0.000 0.000 0.000 Na
0.333 0.667 0.667 Na
0.667 0.333 0.333 Na
0.000 0.000 0.097 Pm
0.000 0.000 0.903 Pm
0.333 0.667 0.569 Pm
0.333 0.667 0.764 Pm
0.667 0.333 0.236 Pm
0.667 0.333 0.431 Pm
0.000 0.000 0.500 Tl
0.333 0.667 0.167 Tl
0.667 0.333 0.833 Tl



[8]
Te2PAu, relaxed, DFT PBE; crystal system = orthorhombic; calculated total energy = -3.349 eV/atom; E_form (uncorrected) = 0.3940 eV/atom
1.0
3.599 0.000 0.000
0.000 5.597 0.000
0.000 0.000 9.721
Te P Au
4 2 2
direct
0.000 0.000 0.000 Te
0.000 0.500 0.360 Te
0.500 0.000 0.360 Te
0.500 0.500 0.000 Te
0.000 0.500 0.765 P
0.500 0.000 0.765 P
0.000 0.000 0.589 Au
0.500 0.500 0.589 Au



Look up the calculated total energy of the second one.
-3.181 eV/atom